[1]
AcCrTe2O8: relaxed, PBE with a Hubbard U.

Output
DOS at the Fermi energy = 0.32 states/eV per atom
raw total energy = -6.2053 eV/atom
mass density = 5.2 g/cm³
SG = No. 164

abc: 6.146 6.146 6.481
angles: 90.00 90.00 120.00
Site moments in Bohr magnetons follow the coordinates.
Element x y z (fractional)
Cr 0.000 0.000 0.000  3.08
O 0.667 0.333 0.853  0.01
O 0.850 0.150 0.202  -0.01
O 0.333 0.667 0.147  0.01
O 0.150 0.301 0.798  -0.01
O 0.150 0.850 0.798  -0.01
O 0.301 0.150 0.202  -0.01
O 0.850 0.699 0.202  -0.01
O 0.699 0.850 0.798  -0.01
Te 0.333 0.667 0.867  0.03
Te 0.667 0.333 0.133  0.03
Ac 0.000 0.000 0.500  0.00

[2]
NiSbO2: relaxed, PBE with a Hubbard U.

Output
DOS at the Fermi energy = 0.00 states/eV per atom
raw total energy = -5.0214 eV/atom
mass density = 6.1 g/cm³
SG = No. 4

abc: 4.969 5.136 5.131
angles: 118.49 90.03 89.97
Site moments in Bohr magnetons follow the coordinates.
Element x y z (fractional)
O 0.197 0.214 0.653  0.01
O 0.697 0.228 0.004  0.01
O 0.257 0.545 0.322  0.01
O 0.757 0.896 0.335  0.01
Sb 0.477 0.554 0.995  0.00
Sb 0.977 0.888 0.661  0.00
Ni 0.478 0.202 0.349  1.01
Ni 0.978 0.240 0.308  1.01

What is the DOS at the Fermi energy in the first record?
0.32 states/eV per atom